1.
{
  "formula": "KTa2P",
  "functional": "GGA-PBE",
  "state": "optimized geometry",
  "delta_e_f_mev_per_atom": 1285,
  "lattice_angstrom": [[5.853, 0.000, 0.000], [-3.034, 5.005, 0.000], [0.000, 0.000, 2.782]],
  "species": ["K", "Ta", "Ta", "P"],
  "fractional_positions": [[0.500, 0.000, 0.500], [0.500, 0.500, 0.000], [0.000, 0.000, 0.000], [0.000, 0.500, 0.500]]
}

---

2.
{
  "formula": "KTa2P",
  "functional": "GGA-PBE",
  "state": "optimized geometry",
  "delta_e_f_mev_per_atom": 1165,
  "lattice_angstrom": [[4.587, 0.000, 0.000], [0.000, 4.117, 0.000], [0.000, 0.000, 4.117]],
  "species": ["P", "Ta", "Ta", "K"],
  "fractional_positions": [[0.500, 0.000, 0.500], [0.000, 0.500, 0.500], [0.000, 0.000, 0.000], [0.500, 0.500, 0.000]]
}

---

3.
{
  "formula": "KTa2P",
  "functional": "GGA-PBE",
  "state": "optimized geometry",
  "delta_e_f_mev_per_atom": 596,
  "lattice_angstrom": [[3.998, 0.000, 0.000], [0.000, 3.221, 0.013], [0.000, 2.285, 8.367]],
  "species": ["P", "Ta", "Ta", "K"],
  "fractional_positions": [[0.500, 0.750, 0.750], [0.000, 0.561, 0.623], [0.000, 0.939, 0.877], [0.500, 0.250, 0.250]]
}

---

4.
{
  "formula": "KTa2P",
  "functional": "GGA-PBE",
  "state": "optimized geometry",
  "delta_e_f_mev_per_atom": 1109,
  "lattice_angstrom": [[4.799, 0.072, 0.000], [-0.004, 4.799, 0.000], [-2.398, -2.436, 3.369]],
  "species": ["K", "Ta", "Ta", "P"],
  "fractional_positions": [[0.500, 0.500, 0.000], [0.000, 0.000, 0.000], [0.250, 0.750, 0.500], [0.750, 0.250, 0.500]]
}

---

The M_tot results, record by record, are as follows: 0.082, 0.000, 0.000, 0.000 μB/atom.